1.
14
Lattice="3.122 -7.567 0.000 3.122 7.567 0.000 0.000 0.000 6.244" Properties=species:S:1:pos:R:3 comment="PBE-GGA Sc4TlPbN, relaxed" total_magnetization_mub_per_cell=0.0 density_g_cm3=6.82 total_energy_ev_per_cell=-91.2 space_group=Cmcm raw_formation_energy_mev_per_atom=-838 pbc="T T T"
Sc 1.561 3.783 0.000
Sc 1.561 3.783 3.122
Sc 3.122 6.135 4.683
Sc 3.122 1.478 4.683
Sc 1.561 -3.783 0.000
Sc 1.561 -3.783 3.122
Sc 3.122 -1.478 1.561
Sc 3.122 -6.135 1.561
Tl 3.122 5.956 1.561
Tl 3.122 -5.956 4.683
Pb 3.122 1.564 1.561
Pb 3.122 -1.564 4.683
N 3.122 3.787 4.683
N 3.122 -3.787 1.561

2.
5
Lattice="4.489 0.000 0.000 0.000 4.489 0.000 0.000 0.000 4.457" Properties=species:S:1:pos:R:3 comment="PBE-GGA Sc2ZnPbN, relaxed" total_magnetization_mub_per_cell=0.0 density_g_cm3=6.96 total_energy_ev_per_cell=-29.4 space_group=P4/mmm raw_formation_energy_mev_per_atom=-680 pbc="T T T"
Sc 0.000 2.245 0.000
Sc 2.245 0.000 0.000
Zn 0.000 0.000 2.228
Pb 2.245 2.245 2.228
N 0.000 0.000 0.000

3.
5
Lattice="5.840 0.000 0.000 0.000 5.840 0.000 0.000 0.000 3.752" Properties=species:S:1:pos:R:3 comment="PBE-GGA ZrScPb2N, relaxed" total_magnetization_mub_per_cell=0.2 density_g_cm3=7.33 total_energy_ev_per_cell=-28.2 space_group=P4/mmm raw_formation_energy_mev_per_atom=481 pbc="T T T"
Zr 0.000 0.000 0.000
Sc 2.920 2.920 1.876
Pb 0.000 2.920 1.876
Pb 2.920 0.000 1.876
N 2.920 2.920 0.000

4.
5
Lattice="4.565 0.000 0.000 0.000 4.565 0.000 0.000 0.000 4.495" Properties=species:S:1:pos:R:3 comment="PBE-GGA Zr2ScPbN, relaxed" total_magnetization_mub_per_cell=0.0 density_g_cm3=7.95 total_energy_ev_per_cell=-39.4 space_group=P4/mmm raw_formation_energy_mev_per_atom=-796 pbc="T T T"
Zr 0.000 2.282 0.000
Zr 2.282 0.000 0.000
Sc 0.000 0.000 2.247
Pb 2.282 2.282 2.247
N 0.000 0.000 0.000

5.
5
Lattice="4.379 0.000 0.000 0.000 4.379 0.000 0.000 0.000 4.528" Properties=species:S:1:pos:R:3 comment="PBE-GGA PbSe2N2, relaxed" total_magnetization_mub_per_cell=1.7 density_g_cm3=7.52 total_energy_ev_per_cell=-20.2 space_group=P4/mmm raw_formation_energy_mev_per_atom=1417 pbc="T T T"
Pb 0.000 0.000 0.000
Se 0.000 2.190 2.264
Se 2.190 0.000 2.264
N 2.190 2.190 0.000
N 2.190 2.190 2.264

6.
5
Lattice="5.643 0.000 0.000 0.000 5.643 0.000 0.000 0.000 4.574" Properties=species:S:1:pos:R:3 comment="PBE-GGA PbSe2N2, relaxed" total_magnetization_mub_per_cell=6.5 density_g_cm3=4.48 total_energy_ev_per_cell=-16.6 space_group=P4/mmm raw_formation_energy_mev_per_atom=2151 pbc="T T T"
Pb 0.000 0.000 0.000
Se 0.000 2.822 0.000
Se 2.822 0.000 0.000
N 0.000 0.000 2.287
N 2.822 2.822 2.287

7.
5
Lattice="4.099 0.000 0.000 0.000 4.099 0.000 0.000 0.000 5.355" Properties=species:S:1:pos:R:3 comment="PBE-GGA PbSe2N2, relaxed" total_magnetization_mub_per_cell=1.4 density_g_cm3=7.26 total_energy_ev_per_cell=-20.7 space_group=P4/mmm raw_formation_energy_mev_per_atom=1317 pbc="T T T"
Pb 0.000 0.000 0.000
Se 2.049 2.049 0.000
Se 2.049 2.049 2.678
N 0.000 2.049 2.678
N 2.049 0.000 2.678

8.
5
Lattice="4.622 0.000 0.000 0.000 4.622 0.000 0.000 0.000 4.622" Properties=species:S:1:pos:R:3 comment="PBE-GGA PbSe3N, relaxed" total_magnetization_mub_per_cell=0.0 density_g_cm3=7.70 total_energy_ev_per_cell=-19.4 space_group=Pm-3m raw_formation_energy_mev_per_atom=615 pbc="T T T"
Pb 0.000 0.000 0.000
Se 0.000 2.311 2.311
Se 2.311 0.000 2.311
Se 2.311 2.311 0.000
N 2.311 2.311 2.311

9.
5
Lattice="3.923 0.000 0.000 0.000 3.923 0.000 0.000 0.000 3.923" Properties=species:S:1:pos:R:3 comment="PBE-GGA PbSeN3, relaxed" total_magnetization_mub_per_cell=0.0 density_g_cm3=9.02 total_energy_ev_per_cell=-24.1 space_group=Pm-3m raw_formation_energy_mev_per_atom=1611 pbc="T T T"
Pb 0.000 0.000 0.000
Se 1.962 1.962 1.962
N 0.000 1.962 1.962
N 1.962 0.000 1.962
N 1.962 1.962 0.000

10.
5
Lattice="5.642 0.000 0.000 0.000 5.642 0.000 0.000 0.000 5.642" Properties=species:S:1:pos:R:3 comment="PBE-GGA PbSe3N, relaxed" total_magnetization_mub_per_cell=5.7 density_g_cm3=4.23 total_energy_ev_per_cell=-14.6 space_group=Pm-3m raw_formation_energy_mev_per_atom=1573 pbc="T T T"
Pb 0.000 0.000 0.000
Se 0.000 0.000 2.821
Se 0.000 2.821 0.000
Se 2.821 0.000 0.000
N 2.821 2.821 2.821

11.
5
Lattice="4.435 0.000 0.000 0.000 4.435 0.000 0.000 0.000 6.029" Properties=species:S:1:pos:R:3 comment="PBE-GGA PbSe2N2, relaxed" total_magnetization_mub_per_cell=3.5 density_g_cm3=5.51 total_energy_ev_per_cell=-18.7 space_group=P4/mmm raw_formation_energy_mev_per_atom=1731 pbc="T T T"
Pb 0.000 0.000 0.000
Se 0.000 0.000 3.014
Se 2.217 2.217 3.014
N 0.000 2.217 0.000
N 2.217 0.000 0.000

12.
8
Lattice="-3.439 3.439 4.355 3.439 -3.439 4.355 3.439 3.439 -4.355" Properties=species:S:1:pos:R:3 comment="PBE-GGA Pb2SeN, relaxed" total_magnetization_mub_per_cell=0.0 density_g_cm3=8.18 total_energy_ev_per_cell=-36.2 space_group=I-42d raw_formation_energy_mev_per_atom=279 pbc="T T T"
Pb 1.720 1.245 -1.089
Pb 2.195 -1.720 5.444
Pb 1.720 2.195 3.266
Pb 1.245 5.159 1.089
Se 3.439 0.000 2.177
Se 0.000 0.000 4.355
N 0.000 0.000 0.000
N 0.000 3.439 2.177